DFT (PBE-GGA) results for a relaxed structure of Na2Cd2Bi3.

```
Na2Cd2Bi3
1.0
4.6752 0.0000 0.0000
-2.3376 6.1847 -0.0744
0.0000 -2.9468 7.5932
Cd Na Bi
2 2 3
direct
0.1599 0.3199 0.2219 Cd
0.8401 0.6801 0.7781 Cd
0.1298 0.2595 0.7843 Na
0.8702 0.7405 0.2157 Na
0.6111 0.2221 0.4553 Bi
0.5000 0.0000 0.0000 Bi
0.3889 0.7779 0.5447 Bi
```

Output
The formation energy is -0.1185 eV per atom. Its raw total energy is -16.94 eV/f.u. The density of states at the Fermi level is 2.1 states/eV/cell.

---

DFT (PBE-GGA) results for a relaxed structure of SrMo2Au.

```
SrMo2Au
1.0
-0.4018 -1.1667 -2.7449
2.5270 -1.1072 1.2021
-4.9328 -7.1668 3.7683
Mo Sr Au
2 1 1
direct
0.5000 0.5000 0.2085 Mo
0.0000 0.0000 0.0136 Mo
0.0000 0.0000 0.5017 Sr
0.5000 0.5000 0.7762 Au
```

Output
The value obtained for the energy above the most stable polymorph in this dataset is 224 meV per atom. The formation energy is 0.5004 eV per atom. Its raw total energy is -24.62 eV/f.u. The density of states at the Fermi level is 3.5 states/eV/cell.

---

DFT (PBE-GGA) results for a relaxed structure of MnPSe2.

```
MnPSe2
1.0
-7.6200 2.7540 -0.7469
-7.5034 2.0249 2.4095
-6.3705 4.8755 1.3616
Mn Se P
1 2 1
direct
0.5000 0.5000 0.5000 Mn
0.7667 0.7667 0.7667 Se
0.2333 0.2333 0.2333 Se
0.0000 0.0000 0.0000 P
```

Output
The calculation puts the raw formation energy at 0.75 eV per formula unit. Its raw total energy is -20.80 eV/f.u. The density of states at the Fermi level is 1.7 states/eV/cell.

---

DFT (PBE-GGA) results for a relaxed structure of Cd3GaHg.

```
Cd3GaHg
1.0
-3.4024 0.7716 1.9183
0.0586 -7.0329 -1.1990
4.0615 -0.9148 7.5717
Cd Hg Ga
6 2 2
direct
0.5823 0.1645 0.1075 Cd
0.4177 0.8355 0.8925 Cd
0.7608 0.5215 0.7072 Cd
0.2392 0.4785 0.2928 Cd
0.0441 0.0882 0.7081 Cd
0.9559 0.9118 0.2919 Cd
0.3892 0.7785 0.5429 Hg
0.6108 0.2215 0.4571 Hg
0.1932 0.3863 0.9391 Ga
0.8068 0.6137 0.0609 Ga
```

Output
The value obtained for the energy above the most stable polymorph in this dataset is 0 meV per atom. The formation energy is 0.0518 eV per atom. Its raw total energy is -5.81 eV/f.u. The density of states at the Fermi level is 2.7 states/eV/cell.

---

DFT (PBE-GGA) results for a relaxed structure of InIrAu2.

```
InIrAu2
1.0
2.9873 0.0000 0.0000
0.0000 4.0755 0.0000
0.0000 0.0000 5.8627
In Au Ir
1 2 1
direct
0.5000 0.5000 0.2500 In
0.0000 0.0000 0.5099 Au
0.0000 0.0000 0.9901 Au
0.5000 0.5000 0.7500 Ir
```

Output
The formation energy is 0.2136 eV per atom. Its raw total energy is -17.30 eV/f.u. The density of states at the Fermi level is 3.1 states/eV/cell.

---

DFT (PBE-GGA) results for a relaxed structure of Mg2Al2CdAu5.

```
Mg2Al2CdAu5
1.0
-2.6170 1.2919 -1.5081
4.2825 -2.5388 -9.6062
-4.9431 -9.6185 0.3384
Au Mg Al Cd
10 4 4 2
direct
0.5000 0.3253 0.6265 Au
0.5000 0.0000 0.5000 Au
0.5000 0.5000 0.0000 Au
0.5000 0.1747 0.1265 Au
0.5000 0.6265 0.6747 Au
0.5000 0.8253 0.8735 Au
0.5000 0.8735 0.1747 Au
0.5000 0.3735 0.3253 Au
0.5000 0.6747 0.3735 Au
0.5000 0.1265 0.8253 Au
0.0000 0.8436 0.6564 Mg
0.0000 0.1564 0.3436 Mg
0.0000 0.3436 0.8436 Mg
0.0000 0.6564 0.1564 Mg
0.0000 0.3631 0.1369 Al
0.0000 0.1369 0.6369 Al
0.0000 0.6369 0.8631 Al
0.0000 0.8631 0.3631 Al
0.0000 0.0000 0.0000 Cd
0.0000 0.5000 0.5000 Cd
```

Output
The formation energy is -0.3328 eV per atom. Its raw total energy is -31.30 eV/f.u. The density of states at the Fermi level is 5.9 states/eV/cell.

---

DFT (PBE-GGA) results for a relaxed structure of SrPmSm4Se8.

```
SrPmSm4Se8
1.0
-0.2024 -5.7828 6.4798
1.2068 -8.4393 -1.6704
7.3330 -3.9269 2.5479
Se Sm Sr Pm
8 4 1 1
direct
0.7578 0.7578 0.7267 Se
0.2385 0.2385 0.7362 Se
0.2385 0.7869 0.7362 Se
0.2273 0.7569 0.2588 Se
0.2374 0.2374 0.2877 Se
0.7569 0.7569 0.2588 Se
0.7569 0.2273 0.2588 Se
0.7869 0.2385 0.7362 Se
0.6251 0.6251 0.1247 Sm
0.4946 0.0018 0.5019 Sm
0.0018 0.4946 0.5019 Sm
0.0018 0.0018 0.5019 Sm
0.3747 0.3747 0.8759 Sr
0.0018 0.0018 0.9944 Pm
```

Output
The calculation puts the raw formation energy at -25.24 eV per formula unit. Its raw total energy is -78.43 eV/f.u. The density of states at the Fermi level is 4.1 states/eV/cell.

---

DFT (PBE-GGA) results for a relaxed structure of NiPPdRu2.

```
NiPPdRu2
1.0
4.9071 0.0000 0.0000
0.0000 4.9071 0.0000
0.0000 0.0000 4.2781
Ru P Ni Pd
2 1 1 1
direct
0.5000 0.0000 0.0000 Ru
0.0000 0.5000 0.0000 Ru
0.0000 0.0000 0.5000 P
0.5000 0.5000 0.5000 Ni
0.0000 0.0000 0.0000 Pd
```

Output
The formation energy is 1.7984 eV per atom. Its raw total energy is -25.94 eV/f.u. The density of states at the Fermi level is 7.6 states/eV/cell.

---

DFT (PBE-GGA) results for a relaxed structure of Nd4Te5Br.

```
Nd4Te5Br
1.0
4.4403 0.0000 0.0000
0.0000 9.2442 -0.5876
-2.2201 -1.9573 9.6665
Te Nd Br
5 4 1
direct
0.1640 0.3350 0.3280 Te
0.8360 0.6650 0.6720 Te
0.5000 0.5000 0.0000 Te
0.1608 0.8550 0.3215 Te
0.8392 0.1450 0.6785 Te
0.3206 0.8868 0.6413 Nd
0.9961 0.7251 0.9923 Nd
0.0039 0.2749 0.0077 Nd
0.6794 0.1132 0.3587 Nd
0.5000 0.0000 0.0000 Br
```

Output
The calculation puts the raw formation energy at -13.35 eV per formula unit. Its raw total energy is -49.81 eV/f.u. The density of states at the Fermi level is 1.9 states/eV/cell.

---

DFT (PBE-GGA) results for a relaxed structure of PrYTmIn.

```
PrYTmIn
1.0
5.5117 0.0000 0.0000
2.7558 4.7733 0.0000
2.7558 1.5911 4.5003
In Y Tm Pr
1 1 1 1
direct
0.5000 0.5000 0.5000 In
0.0000 0.0000 0.0000 Y
0.7500 0.7500 0.7500 Tm
0.2500 0.2500 0.2500 Pr
```

Output
The value obtained for the energy above the most stable polymorph in this dataset is 148 meV per atom. The formation energy is -0.1134 eV per atom. Its raw total energy is -18.91 eV/f.u. The density of states at the Fermi level is 6.0 states/eV/cell.

---

DFT (PBE-GGA) results for a relaxed structure of TaPdWC.

```
TaPdWC
1.0
3.0648 0.0000 0.0000
-1.5324 2.6542 0.0000
0.0000 0.0000 20.5760
C Ta W Pd
3 3 3 3
direct
0.3333 0.6667 0.9740 C
0.0000 0.0000 0.3074 C
0.6667 0.3333 0.6407 C
0.0000 0.0000 0.7015 Ta
0.3333 0.6667 0.3681 Ta
0.6667 0.3333 0.0348 Ta
0.0000 0.0000 0.9174 W
0.6667 0.3333 0.2508 W
0.3333 0.6667 0.5841 W
0.3333 0.6667 0.8080 Pd
0.6667 0.3333 0.4747 Pd
0.0000 0.0000 0.1414 Pd
```

Output
The value obtained for the energy above the most stable polymorph in this dataset is 0 meV per atom. The formation energy is -0.2287 eV per atom. Its raw total energy is -40.14 eV/f.u. The density of states at the Fermi level is 5.6 states/eV/cell.

---

DFT (PBE-GGA) results for a relaxed structure of Dy3TeAs2Rh9.

```
Dy3TeAs2Rh9
1.0
-3.2944 -4.8557 2.1267
5.8416 0.9216 1.9950
-3.2128 5.2399 6.9869
Dy As Rh Te
3 2 9 1
direct
0.3333 0.6667 0.7481 Dy
0.6667 0.3333 0.2519 Dy
0.0000 0.0000 0.0000 Dy
0.6667 0.3333 0.8304 As
0.3333 0.6667 0.1696 As
0.2865 0.1432 0.7256 Rh
0.5000 0.0000 0.0000 Rh
0.5000 0.5000 0.0000 Rh
0.1432 0.8568 0.2744 Rh
0.0000 0.5000 0.0000 Rh
0.7135 0.8568 0.2744 Rh
0.8568 0.1432 0.7256 Rh
0.8568 0.7135 0.7256 Rh
0.1432 0.2865 0.2744 Rh
0.0000 0.0000 0.5000 Te
```

Output
The calculation puts the raw formation energy at -6.81 eV per formula unit. Its raw total energy is -99.22 eV/f.u. The density of states at the Fermi level is 7.1 states/eV/cell.